[1]
Density functional theory data (GGA-PBE) for crystalline Co at its relaxed geometry.

Computed properties:
Total moment, μB per formula unit: 1.6
DFT formation energy, kJ/mol of formula units: 0
Space group: P6_3/mmc
Energy above the most stable polymorph in this dataset, meV per atom: 0

```
data_Co
_chemical_formula_sum 'Co2'
_space_group_name_H-M_alt 'P 1'
_space_group_IT_number 1
_cell_length_a 2.483
_cell_length_b 2.483
_cell_length_c 4.015
_cell_angle_alpha 90.00
_cell_angle_beta 90.00
_cell_angle_gamma 120.00
loop_
_space_group_symop_operation_xyz
'x,y,z'
loop_
_atom_site_label
_atom_site_fract_x
_atom_site_fract_y
_atom_site_fract_z
Co1 0.333 0.667 0.250
Co2 0.667 0.333 0.750
```



[2]
Density functional theory data (GGA-PBE) for crystalline CsNaAgSb at its relaxed geometry.

Computed properties:
Space group: Ama2
Energy above the most stable polymorph in this dataset, meV per atom: 68

```
data_CsNaAgSb
_chemical_formula_sum 'Cs4 Na4 Ag4 Sb4'
_space_group_name_H-M_alt 'P 1'
_space_group_IT_number 1
_cell_length_a 6.546
_cell_length_b 8.351
_cell_length_c 10.565
_cell_angle_alpha 90.00
_cell_angle_beta 90.00
_cell_angle_gamma 90.00
loop_
_space_group_symop_operation_xyz
'x,y,z'
loop_
_atom_site_label
_atom_site_fract_x
_atom_site_fract_y
_atom_site_fract_z
Cs1 0.250 0.155 0.000
Cs2 0.250 0.655 0.500
Cs3 0.750 0.345 0.500
Cs4 0.750 0.845 0.000
Na1 0.250 0.158 0.346
Na2 0.250 0.658 0.846
Na3 0.750 0.342 0.846
Na4 0.750 0.842 0.346
Ag1 0.000 0.000 0.684
Ag2 0.000 0.500 0.184
Ag3 0.500 0.000 0.684
Ag4 0.500 0.500 0.184
Sb1 0.250 0.257 0.660
Sb2 0.250 0.757 0.160
Sb3 0.750 0.243 0.160
Sb4 0.750 0.743 0.660
```



[3]
Density functional theory data (GGA-PBE) for crystalline Na2SiPt3 at its relaxed geometry.

Computed properties:
Total DFT energy (no corrections), Ry per atom: -0.3616
Total moment, μB per formula unit: 0.0
Space group: R-3m

```
data_Na2SiPt3
_chemical_formula_sum 'Na2 Si1 Pt3'
_space_group_name_H-M_alt 'P 1'
_space_group_IT_number 1
_cell_length_a 5.010
_cell_length_b 5.010
_cell_length_c 5.010
_cell_angle_alpha 66.81
_cell_angle_beta 66.81
_cell_angle_gamma 66.81
loop_
_space_group_symop_operation_xyz
'x,y,z'
loop_
_atom_site_label
_atom_site_fract_x
_atom_site_fract_y
_atom_site_fract_z
Na1 0.120 0.120 0.120
Na2 0.880 0.880 0.880
Si1 0.500 0.500 0.500
Pt1 0.000 0.500 0.500
Pt2 0.500 0.000 0.500
Pt3 0.500 0.500 0.000
```



[4]
Density functional theory data (GGA-PBE) for crystalline InCuTe2OsSe at its relaxed geometry.

Computed properties:
Total DFT energy (no corrections), Ry per atom: -0.3309
Total moment, μB per formula unit: 0.0
Space group: Cmcm

```
data_InCuTe2OsSe
_chemical_formula_sum 'In2 Cu2 Te4 Os2 Se2'
_space_group_name_H-M_alt 'P 1'
_space_group_IT_number 1
_cell_length_a 7.431
_cell_length_b 7.431
_cell_length_c 9.622
_cell_angle_alpha 90.00
_cell_angle_beta 90.00
_cell_angle_gamma 149.01
loop_
_space_group_symop_operation_xyz
'x,y,z'
loop_
_atom_site_label
_atom_site_fract_x
_atom_site_fract_y
_atom_site_fract_z
In1 0.243 0.757 0.750
In2 0.757 0.243 0.250
Cu1 0.017 0.983 0.250
Cu2 0.983 0.017 0.750
Te1 0.128 0.872 0.043
Te2 0.128 0.872 0.457
Te3 0.872 0.128 0.543
Te4 0.872 0.128 0.957
Os1 0.500 0.500 0.000
Os2 0.500 0.500 0.500
Se1 0.424 0.576 0.250
Se2 0.576 0.424 0.750
```



[5]
Density functional theory data (GGA-PBE) for crystalline HfZnNi2 at its relaxed geometry.

Computed properties:
Total moment, μB per formula unit: 0.0
DFT formation energy, kJ/mol of formula units: -172
Space group: P6_3/mmc

```
data_HfZnNi2
_chemical_formula_sum 'Hf2 Zn2 Ni4'
_space_group_name_H-M_alt 'P 1'
_space_group_IT_number 1
_cell_length_a 4.083
_cell_length_b 4.083
_cell_length_c 7.933
_cell_angle_alpha 90.00
_cell_angle_beta 90.00
_cell_angle_gamma 120.00
loop_
_space_group_symop_operation_xyz
'x,y,z'
loop_
_atom_site_label
_atom_site_fract_x
_atom_site_fract_y
_atom_site_fract_z
Hf1 0.333 0.667 0.250
Hf2 0.667 0.333 0.750
Zn1 0.000 0.000 0.000
Zn2 0.000 0.000 0.500
Ni1 0.333 0.667 0.588
Ni2 0.333 0.667 0.912
Ni3 0.667 0.333 0.088
Ni4 0.667 0.333 0.412
```



[6]
Density functional theory data (GGA-PBE) for crystalline SrSi2IrAu at its relaxed geometry.

Computed properties:
Total DFT energy (no corrections), Ry per atom: -0.4015
Total moment, μB per formula unit: 0.0
Space group: I-4m2

```
data_SrSi2IrAu
_chemical_formula_sum 'Sr2 Si4 Ir2 Au2'
_space_group_name_H-M_alt 'P 1'
_space_group_IT_number 1
_cell_length_a 4.322
_cell_length_b 4.322
_cell_length_c 10.201
_cell_angle_alpha 90.00
_cell_angle_beta 90.00
_cell_angle_gamma 90.00
loop_
_space_group_symop_operation_xyz
'x,y,z'
loop_
_atom_site_label
_atom_site_fract_x
_atom_site_fract_y
_atom_site_fract_z
Sr1 0.000 0.000 0.000
Sr2 0.500 0.500 0.500
Si1 0.000 0.000 0.375
Si2 0.000 0.000 0.625
Si3 0.500 0.500 0.125
Si4 0.500 0.500 0.875
Ir1 0.000 0.500 0.250
Ir2 0.500 0.000 0.750
Au1 0.000 0.500 0.750
Au2 0.500 0.000 0.250
```



[7]
Density functional theory data (GGA-PBE) for crystalline SmGdSnPd2 at its relaxed geometry.

Computed properties:
Total DFT energy (no corrections), Ry per atom: -0.4141
Total moment, μB per formula unit: 0.0
Space group: Amm2

```
data_SmGdSnPd2
_chemical_formula_sum 'Sm2 Gd2 Sn2 Pd4'
_space_group_name_H-M_alt 'P 1'
_space_group_IT_number 1
_cell_length_a 3.656
_cell_length_b 4.286
_cell_length_c 14.714
_cell_angle_alpha 90.00
_cell_angle_beta 90.00
_cell_angle_gamma 90.00
loop_
_space_group_symop_operation_xyz
'x,y,z'
loop_
_atom_site_label
_atom_site_fract_x
_atom_site_fract_y
_atom_site_fract_z
Sm1 0.000 0.000 0.000
Sm2 0.000 0.500 0.500
Gd1 0.000 0.000 0.261
Gd2 0.000 0.500 0.761
Sn1 0.500 0.000 0.631
Sn2 0.500 0.500 0.131
Pd1 0.500 0.000 0.439
Pd2 0.500 0.000 0.820
Pd3 0.500 0.500 0.320
Pd4 0.500 0.500 0.939
```



[8]
Density functional theory data (GGA-PBE) for crystalline ZrTc2Pd at its relaxed geometry.

Computed properties:
Total moment, μB per formula unit: 0.0
DFT formation energy, kJ/mol of formula units: -28
Space group: F-43m

```
data_ZrTc2Pd
_chemical_formula_sum 'Zr4 Tc8 Pd4'
_space_group_name_H-M_alt 'P 1'
_space_group_IT_number 1
_cell_length_a 6.406
_cell_length_b 6.406
_cell_length_c 6.406
_cell_angle_alpha 90.00
_cell_angle_beta 90.00
_cell_angle_gamma 90.00
loop_
_space_group_symop_operation_xyz
'x,y,z'
loop_
_atom_site_label
_atom_site_fract_x
_atom_site_fract_y
_atom_site_fract_z
Zr1 0.000 0.000 0.000
Zr2 0.000 0.500 0.500
Zr3 0.500 0.000 0.500
Zr4 0.500 0.500 0.000
Tc1 0.000 0.000 0.500
Tc2 0.000 0.500 0.000
Tc3 0.250 0.250 0.250
Tc4 0.250 0.750 0.750
Tc5 0.500 0.000 0.000
Tc6 0.500 0.500 0.500
Tc7 0.750 0.250 0.750
Tc8 0.750 0.750 0.250
Pd1 0.250 0.250 0.750
Pd2 0.250 0.750 0.250
Pd3 0.750 0.250 0.250
Pd4 0.750 0.750 0.750
```



[9]
Density functional theory data (GGA-PBE) for crystalline InNi2SeS2 at its relaxed geometry.

Computed properties:
Total DFT energy (no corrections), Ry per atom: -0.3400
Total moment, μB per formula unit: 0.0
Space group: Cc

```
data_InNi2SeS2
_chemical_formula_sum 'In2 Ni4 Se2 S4'
_space_group_name_H-M_alt 'P 1'
_space_group_IT_number 1
_cell_length_a 6.666
_cell_length_b 6.666
_cell_length_c 6.558
_cell_angle_alpha 99.03
_cell_angle_beta 99.03
_cell_angle_gamma 120.17
loop_
_space_group_symop_operation_xyz
'x,y,z'
loop_
_atom_site_label
_atom_site_fract_x
_atom_site_fract_y
_atom_site_fract_z
In1 0.092 0.908 0.500
In2 0.908 0.092 0.000
Ni1 0.258 0.767 0.981
Ni2 0.409 0.595 0.503
Ni3 0.595 0.409 0.003
Ni4 0.767 0.258 0.481
Se1 0.336 0.504 0.130
Se2 0.504 0.336 0.630
S1 0.126 0.585 0.634
S2 0.585 0.126 0.134
S3 0.751 0.952 0.589
S4 0.952 0.751 0.089
```



[10]
Density functional theory data (GGA-PBE) for crystalline NbCdPO at its relaxed geometry.

Computed properties:
Total moment, μB per formula unit: 0.1
Space group: P4/nmm
Energy above the most stable polymorph in this dataset, meV per atom: 252

```
data_NbCdPO
_chemical_formula_sum 'Nb2 Cd2 P2 O2'
_space_group_name_H-M_alt 'P 1'
_space_group_IT_number 1
_cell_length_a 3.545
_cell_length_b 3.545
_cell_length_c 10.294
_cell_angle_alpha 90.00
_cell_angle_beta 90.00
_cell_angle_gamma 90.00
loop_
_space_group_symop_operation_xyz
'x,y,z'
loop_
_atom_site_label
_atom_site_fract_x
_atom_site_fract_y
_atom_site_fract_z
Nb1 0.250 0.250 0.126
Nb2 0.750 0.750 0.874
Cd1 0.250 0.750 0.500
Cd2 0.750 0.250 0.500
P1 0.250 0.250 0.763
P2 0.750 0.750 0.237
O1 0.250 0.750 0.000
O2 0.750 0.250 0.000
```



[11]
Density functional theory data (GGA-PBE) for crystalline FeCoBIr at its relaxed geometry.

Computed properties:
Total moment, μB per formula unit: 4.7
Space group: F-43m
Energy above the most stable polymorph in this dataset, meV per atom: 0

```
data_FeCoBIr
_chemical_formula_sum 'Fe4 Co4 B4 Ir4'
_space_group_name_H-M_alt 'P 1'
_space_group_IT_number 1
_cell_length_a 5.602
_cell_length_b 5.602
_cell_length_c 5.602
_cell_angle_alpha 90.00
_cell_angle_beta 90.00
_cell_angle_gamma 90.00
loop_
_space_group_symop_operation_xyz
'x,y,z'
loop_
_atom_site_label
_atom_site_fract_x
_atom_site_fract_y
_atom_site_fract_z
Fe1 0.000 0.000 0.000
Fe2 0.000 0.500 0.500
Fe3 0.500 0.000 0.500
Fe4 0.500 0.500 0.000
Co1 0.250 0.250 0.750
Co2 0.250 0.750 0.250
Co3 0.750 0.250 0.250
Co4 0.750 0.750 0.750
B1 0.000 0.000 0.500
B2 0.000 0.500 0.000
B3 0.500 0.000 0.000
B4 0.500 0.500 0.500
Ir1 0.250 0.250 0.250
Ir2 0.250 0.750 0.750
Ir3 0.750 0.250 0.750
Ir4 0.750 0.750 0.250
```



[12]
Density functional theory data (GGA-PBE) for crystalline SmLuGe2Os at its relaxed geometry.

Computed properties:
Total DFT energy (no corrections), Ry per atom: -0.4868
Total moment, μB per formula unit: 0.0
Space group: C2/m

```
data_SmLuGe2Os
_chemical_formula_sum 'Sm2 Lu2 Ge4 Os2'
_space_group_name_H-M_alt 'P 1'
_space_group_IT_number 1
_cell_length_a 5.763
_cell_length_b 5.763
_cell_length_c 10.108
_cell_angle_alpha 115.38
_cell_angle_beta 115.38
_cell_angle_gamma 43.90
loop_
_space_group_symop_operation_xyz
'x,y,z'
loop_
_atom_site_label
_atom_site_fract_x
_atom_site_fract_y
_atom_site_fract_z
Sm1 0.188 0.188 0.114
Sm2 0.812 0.812 0.886
Lu1 0.001 0.001 0.330
Lu2 0.999 0.999 0.670
Ge1 0.360 0.360 0.439
Ge2 0.491 0.491 0.130
Ge3 0.509 0.509 0.870
Ge4 0.640 0.640 0.561
Os1 0.267 0.267 0.628
Os2 0.733 0.733 0.372
```



[13]
Density functional theory data (GGA-PBE) for crystalline CuAg4 at its relaxed geometry.

Computed properties:
DFT formation energy, kJ/mol of formula units: 24
Space group: C2/m
Energy above the most stable polymorph in this dataset, meV per atom: 25

```
data_CuAg4
_chemical_formula_sum 'Cu2 Ag8'
_space_group_name_H-M_alt 'P 1'
_space_group_IT_number 1
_cell_length_a 6.290
_cell_length_b 6.290
_cell_length_c 9.593
_cell_angle_alpha 100.13
_cell_angle_beta 100.13
_cell_angle_gamma 26.80
loop_
_space_group_symop_operation_xyz
'x,y,z'
loop_
_atom_site_label
_atom_site_fract_x
_atom_site_fract_y
_atom_site_fract_z
Cu1 0.049 0.049 0.148
Cu2 0.951 0.951 0.852
Ag1 0.148 0.148 0.451
Ag2 0.257 0.257 0.758
Ag3 0.360 0.360 0.045
Ag4 0.451 0.451 0.340
Ag5 0.549 0.549 0.660
Ag6 0.640 0.640 0.955
Ag7 0.743 0.743 0.242
Ag8 0.852 0.852 0.549
```